Arrangement P

The following is a DFT calculation (PBE with a Hubbard U) of an optimized crystal structure of Mg2Mo3O8.

Results
V (Å³ per atom): 12.4
Crystal system: hexagonal

Lattice parameters (Å, degrees): 6.2794 6.2794 9.4623 90.00 90.00 120.00
Space group P6_3mc (No. 186)
Asymmetric unit:
Mg (0.3333, 0.6667, 0.0000) (multiplicity 2)
Mg (0.3333, 0.6667, 0.3857) (multiplicity 2)
Mo (0.1640, 0.3279, 0.6693) (multiplicity 6)
O (0.0000, 0.0000, 0.0549) (multiplicity 2)
O (0.0400, 0.5200, 0.5422) (multiplicity 6)
O (0.1698, 0.3395, 0.2644) (multiplicity 6)
O (0.3333, 0.6667, 0.7889) (multiplicity 2)


Arrangement Q

The following is a DFT calculation (PBE with a Hubbard U) of an optimized crystal structure of Mg2Mo3O8.

Results
V (Å³ per atom): 12.6
Crystal system: monoclinic

Lattice parameters (Å, degrees): 10.0031 6.0552 5.4848 90.00 100.07 90.00
Space group C2/m (No. 12)
Asymmetric unit:
Mg (0.2052, 0.0000, 0.0770) (multiplicity 4)
Mo (0.0000, 0.2419, 0.5000) (multiplicity 4)
Mo (0.0000, 0.5000, 0.0000) (multiplicity 2)
O (0.1031, 0.5000, 0.3679) (multiplicity 4)
O (0.1109, 0.0000, 0.3728) (multiplicity 4)
O (0.1207, 0.2695, 0.8652) (multiplicity 8)


arrangement P is the most stable structure; the next one sits 5.2 kJ/mol of atoms above it.


Arrangement P

The following is a DFT calculation (PBE with a Hubbard U) of an optimized crystal structure of Mg3MoO.

Results
V (Å³ per atom): 17.1
Crystal system: cubic

Lattice parameters (Å, degrees): 4.4022 4.4022 4.4022 90.00 90.00 90.00
Space group Pm-3m (No. 221)
Asymmetric unit:
Mg (0.0000, 0.0000, 0.5000) (multiplicity 3)
Mo (0.5000, 0.5000, 0.5000) (multiplicity 1)
O (0.0000, 0.0000, 0.0000) (multiplicity 1)


Arrangement Q

The following is a DFT calculation (PBE with a Hubbard U) of an optimized crystal structure of Mg3MoO.

Results
V (Å³ per atom): 34.4
Crystal system: cubic

Lattice parameters (Å, degrees): 5.5615 5.5615 5.5615 90.00 90.00 90.00
Space group Pm-3m (No. 221)
Asymmetric unit:
Mg (0.0000, 0.0000, 0.5000) (multiplicity 3)
Mo (0.0000, 0.0000, 0.0000) (multiplicity 1)
O (0.5000, 0.5000, 0.5000) (multiplicity 1)


arrangement P is the most stable structure; the next one sits 164.9 kJ/mol of atoms above it.


Arrangement P

The following is a DFT calculation (PBE with a Hubbard U) of an optimized crystal structure of MgMo3O.

Results
V (Å³ per atom): 31.0
Crystal system: cubic

Lattice parameters (Å, degrees): 5.3714 5.3714 5.3714 90.00 90.00 90.00
Space group Pm-3m (No. 221)
Asymmetric unit:
Mg (0.0000, 0.0000, 0.0000) (multiplicity 1)
Mo (0.0000, 0.0000, 0.5000) (multiplicity 3)
O (0.5000, 0.5000, 0.5000) (multiplicity 1)


Arrangement Q

The following is a DFT calculation (PBE with a Hubbard U) of an optimized crystal structure of MgMo3O.

Results
V (Å³ per atom): 14.9
Crystal system: cubic

Lattice parameters (Å, degrees): 4.2073 4.2073 4.2073 90.00 90.00 90.00
Space group Pm-3m (No. 221)
Asymmetric unit:
Mg (0.0000, 0.0000, 0.0000) (multiplicity 1)
Mo (0.0000, 0.5000, 0.5000) (multiplicity 3)
O (0.5000, 0.5000, 0.5000) (multiplicity 1)


arrangement Q is the most stable structure; the next one sits 156.4 kJ/mol of atoms above it.


Arrangement P

The following is a DFT calculation (PBE with a Hubbard U) of an optimized crystal structure of MgMoP2O.

Results
V (Å³ per atom): 16.6
Crystal system: tetragonal

Lattice parameters (Å, degrees): 4.8381 4.8381 3.5473 90.00 90.00 90.00
Space group P4/mmm (No. 123)
Asymmetric unit:
Mg (0.0000, 0.0000, 0.0000) (multiplicity 1)
Mo (0.5000, 0.5000, 0.5000) (multiplicity 1)
P (0.0000, 0.5000, 0.0000) (multiplicity 2)
O (0.0000, 0.0000, 0.5000) (multiplicity 1)


Arrangement Q

The following is a DFT calculation (PBE with a Hubbard U) of an optimized crystal structure of MgMoP2O.

Results
V (Å³ per atom): 18.1
Crystal system: tetragonal

Lattice parameters (Å, degrees): 4.8789 4.8789 3.8017 90.00 90.00 90.00
Space group P4/mmm (No. 123)
Asymmetric unit:
Mg (0.0000, 0.0000, 0.0000) (multiplicity 1)
Mo (0.5000, 0.5000, 0.5000) (multiplicity 1)
P (0.0000, 0.5000, 0.5000) (multiplicity 2)
O (0.5000, 0.5000, 0.0000) (multiplicity 1)


arrangement Q is the most stable structure; the next one sits 97.9 kJ/mol of atoms above it.


Arrangement P

The following is a DFT calculation (PBE with a Hubbard U) of an optimized crystal structure of Mg2TaMoO6.

Results
V (Å³ per atom): 11.5
Crystal system: trigonal

Lattice parameters (Å, degrees): 5.2881 5.2881 14.2825 90.00 90.00 120.00
Space group R3 (No. 146, hexagonal axes)
Asymmetric unit:
Mg (0.0000, 0.0000, 0.0000) (multiplicity 3)
Mg (0.0000, 0.0000, 0.4962) (multiplicity 3)
Ta (0.0000, 0.0000, 0.2912) (multiplicity 3)
Mo (0.0000, 0.0000, 0.7916) (multiplicity 3)
O (0.0021, 0.7076, 0.3850) (multiplicity 9)
O (0.0053, 0.3609, 0.5568) (multiplicity 9)


Arrangement Q

The following is a DFT calculation (PBE with a Hubbard U) of an optimized crystal structure of Mg2TaMoO6.

Results
V (Å³ per atom): 11.3
Crystal system: monoclinic

Lattice parameters (Å, degrees): 5.3615 7.7493 5.4527 90.00 91.35 90.00
Space group P2_1/m (No. 11)
Asymmetric unit:
Mg (0.0047, 0.2500, 0.0444) (multiplicity 2)
Mg (0.4882, 0.2500, 0.5323) (multiplicity 2)
Ta (0.5000, 0.0000, 0.0000) (multiplicity 2)
Mo (0.0000, 0.0000, 0.5000) (multiplicity 2)
O (0.1337, 0.2500, 0.4036) (multiplicity 2)
O (0.1863, 0.5673, 0.1626) (multiplicity 4)
O (0.3459, 0.5678, 0.6837) (multiplicity 4)
O (0.3734, 0.2500, 0.9253) (multiplicity 2)


arrangement P is the most stable structure; the next one sits 5.6 kJ/mol of atoms above it.